# 1
Entry from Alexandria via LeMat-Bulk: an optimized crystal structure of K3Sm2HfTe6 (GGA-PBE).

Cell lengths 7.6716, 7.6716, 8.6820 Å; angles 98.51, 98.51, 120.02 degrees
Positions (direct):
K  0.1729  0.8271  0.5000
K  0.8271  0.1729  0.5000
K  0.5000  0.5000  0.5000
Sm  0.3342  0.6658  0.0000
Sm  0.6658  0.3342  0.0000
Hf  0.0000  0.0000  0.0000
Te  0.9307  0.6169  0.7917
Te  0.7575  0.7575  0.2100
Te  0.0693  0.3831  0.2083
Te  0.6169  0.9307  0.7917
Te  0.2425  0.2425  0.7900
Te  0.3831  0.0693  0.2083

Results
- SG: C2/m
- E_form (uncorrected): -1.214 eV/atom
- VASP energy: -4.6750 eV/atom

---

# 2
Entry from Alexandria via LeMat-Bulk: an optimized crystal structure of Zn5Ni4 (GGA-PBE).

Cell lengths 3.7565, 5.7687, 5.7687 Å; angles 96.09, 109.00, 71.00 degrees
Positions (direct):
Ni  0.3366  0.6634  0.3366
Ni  0.6634  0.3366  0.6634
Ni  0.0000  0.3366  0.3366
Ni  0.0000  0.6634  0.6634
Zn  0.0000  0.0000  0.0000
Zn  0.3287  0.0000  0.6574
Zn  0.6713  0.0000  0.3426
Zn  0.6713  0.6574  0.0000
Zn  0.3287  0.3426  0.0000

Results
- ΔH_f (0 K): -0.16 eV/atom
- SG: I4/mmm
- Excess energy over the best structure of this formula in the dataset: 0.0 kJ/mol of atoms
- VASP energy: -3.4342 eV/atom

---

# 3
Entry from Alexandria via LeMat-Bulk: an optimized crystal structure of KAuI2 (GGA-PBE).

Cell lengths 8.4157, 8.4157, 7.4248 Å; angles 55.48, 55.48, 90.00 degrees
Positions (direct):
I  0.6910  0.1250  0.2500
I  0.0590  0.6250  0.2500
I  0.3750  0.3090  0.7500
I  0.8750  0.9410  0.7500
K  0.5000  0.5000  0.0000
K  0.2500  0.7500  0.5000
Au  0.0000  0.0000  0.0000
Au  0.7500  0.2500  0.5000

Results
- SG: I-42d
- Excess energy over the best structure of this formula in the dataset: 9.1 kJ/mol of atoms
- E_form (uncorrected): -0.663 eV/atom
- VASP energy: -2.5322 eV/atom

---

# 4
Entry from Alexandria via LeMat-Bulk: an optimized crystal structure of NdUTc3 (GGA-PBE).

Cell lengths 5.5653, 5.8012, 6.3632 Å; angles 90.00, 104.65, 90.00 degrees
Positions (direct):
Nd  0.6632  0.2500  0.1263
Nd  0.3368  0.7500  0.8737
U  0.1647  0.2500  0.6022
U  0.8353  0.7500  0.3978
Tc  0.2810  0.9981  0.3420
Tc  0.7190  0.0019  0.6580
Tc  0.7190  0.4981  0.6580
Tc  0.2810  0.5019  0.3420
Tc  0.0908  0.2500  0.9522
Tc  0.9092  0.7500  0.0478

Results
- ΔH_f (0 K): -0.04 eV/atom
- SG: P2_1/m
- VASP energy: -9.4702 eV/atom

---

# 5
Entry from Alexandria via LeMat-Bulk: an optimized crystal structure of AsSe2Br (GGA-PBE).

Cell lengths 4.9510, 4.9510, 3.4967 Å; angles 90.00, 90.00, 90.00 degrees
Positions (direct):
As  0.5000  0.0000  0.5000
Se  0.0000  0.0000  0.0000
Se  0.5000  0.5000  0.0000
Br  0.0000  0.5000  0.5000

Results
- SG: P4/mmm
- Excess energy over the best structure of this formula in the dataset: 76.4 kJ/mol of atoms
- E_form (uncorrected): 0.640 eV/atom
- VASP energy: -2.6830 eV/atom

---

# 6
Entry from Alexandria via LeMat-Bulk: an optimized crystal structure of Er2Tl3ZnSe6 (GGA-PBE).

Cell lengths 7.1217, 7.1217, 7.8562 Å; angles 98.81, 98.81, 119.94 degrees
Positions (direct):
Er  0.3345  0.6655  0.0000
Er  0.6655  0.3345  0.0000
Tl  0.1720  0.8280  0.5000
Tl  0.8280  0.1720  0.5000
Tl  0.5000  0.5000  0.5000
Zn  0.0000  0.0000  0.0000
Se  0.9332  0.6122  0.7993
Se  0.7446  0.7446  0.2078
Se  0.0668  0.3878  0.2007
Se  0.6122  0.9332  0.7993
Se  0.2554  0.2554  0.7922
Se  0.3878  0.0668  0.2007

Results
- SG: C2/m
- E_form (uncorrected): -0.988 eV/atom
- VASP energy: -4.1889 eV/atom

---

# 7
Entry from Alexandria via LeMat-Bulk: an optimized crystal structure of Ho4Cd3Ga (GGA-PBE).

Cell lengths 3.6631, 3.6631, 14.8996 Å; angles 90.00, 90.00, 90.00 degrees
Positions (direct):
Ho  0.0000  0.0000  0.8852
Ho  0.0000  0.0000  0.1148
Ho  0.0000  0.0000  0.3715
Ho  0.0000  0.0000  0.6285
Ga  0.5000  0.5000  0.0000
Cd  0.5000  0.5000  0.2449
Cd  0.5000  0.5000  0.5000
Cd  0.5000  0.5000  0.7551

Results
- ΔH_f (0 K): -0.38 eV/atom
- SG: P4/mmm
- VASP energy: -3.3933 eV/atom

---

# 8
Entry from Alexandria via LeMat-Bulk: an optimized crystal structure of HoThAlGa (GGA-PBE).

Cell lengths 5.1668, 5.1668, 5.1668 Å; angles 60.00, 60.00, 60.00 degrees
Positions (direct):
Ga  0.7500  0.7500  0.7500
Ho  0.5000  0.5000  0.5000
Th  0.0000  0.0000  0.0000
Al  0.2500  0.2500  0.2500

Results
- ΔH_f (0 K): -0.37 eV/atom
- SG: F-43m
- VASP energy: -5.0571 eV/atom

---

# 9
Entry from Alexandria via LeMat-Bulk: an optimized crystal structure of InHg3Pb2 (GGA-PBE).

Cell lengths 5.6600, 5.4801, 6.1441 Å; angles 116.49, 90.00, 90.00 degrees
Positions (direct):
In  0.0000  0.0000  0.0000
Hg  0.5000  0.1660  0.3319
Hg  0.5000  0.5000  0.0000
Hg  0.5000  0.8340  0.6681
Pb  0.0000  0.6616  0.3231
Pb  0.0000  0.3384  0.6769

Results
- ΔH_f (0 K): 0.03 eV/atom
- SG: Cmmm
- Excess energy over the best structure of this formula in the dataset: 0.7 kJ/mol of atoms
- VASP energy: -1.8100 eV/atom

---

# 10
Entry from Alexandria via LeMat-Bulk: an optimized crystal structure of Nd5Er3P8 (GGA-PBE).

Cell lengths 8.1903, 8.1903, 8.1879 Å; angles 59.99, 59.99, 60.00 degrees
Positions (direct):
Nd  0.5000  0.0000  0.0000
Nd  0.5000  0.5000  0.0000
Nd  0.0000  0.0000  0.0000
Nd  0.0000  0.5000  0.0000
Nd  0.5000  0.5000  0.5000
Er  0.5000  0.0000  0.5000
Er  0.0000  0.0000  0.5000
Er  0.0000  0.5000  0.5000
P  0.2500  0.2500  0.7419
P  0.2500  0.7581  0.7419
P  0.7581  0.2500  0.7419
P  0.7540  0.7540  0.7381
P  0.7500  0.7500  0.2581
P  0.7500  0.2419  0.2581
P  0.2419  0.7500  0.2581
P  0.2460  0.2460  0.2619

Results
- ΔH_f (0 K): -1.55 eV/atom
- SG: R-3m
- VASP energy: -6.6021 eV/atom

---

# 11
Entry from Alexandria via LeMat-Bulk: an optimized crystal structure of Pu2FeCl (GGA-PBE).

Cell lengths 3.2541, 3.2541, 7.8629 Å; angles 90.00, 90.00, 90.00 degrees
Positions (direct):
Cl  0.5000  0.5000  0.5000
Fe  0.5000  0.5000  0.0000
Pu  0.0000  0.0000  0.7832
Pu  0.0000  0.0000  0.2168

Results
- SG: P4/mmm
- Excess energy over the best structure of this formula in the dataset: 0.0 kJ/mol of atoms
- E_form (uncorrected): -0.499 eV/atom
- VASP energy: -10.2428 eV/atom

---

# 12
Entry from Alexandria via LeMat-Bulk: an optimized crystal structure of Na2Si2Ir (GGA-PBE).

Cell lengths 6.1838, 6.1838, 5.0052 Å; angles 90.00, 90.00, 90.00 degrees
Positions (direct):
Na  0.1839  0.6839  0.5000
Na  0.6839  0.8161  0.5000
Na  0.8161  0.3161  0.5000
Na  0.3161  0.1839  0.5000
Si  0.3632  0.8632  0.0000
Si  0.8632  0.6368  0.0000
Si  0.6368  0.1368  0.0000
Si  0.1368  0.3632  0.0000
Ir  0.0000  0.0000  0.0000
Ir  0.5000  0.5000  0.0000

Results
- SG: P4/mbm
- E_form (uncorrected): -0.173 eV/atom
- VASP energy: -4.6424 eV/atom

---

# 13
Entry from Alexandria via LeMat-Bulk: an optimized crystal structure of HgPd2Se2 (GGA-PBE).

Cell lengths 4.7333, 7.5184, 6.7602 Å; angles 91.11, 69.58, 75.42 degrees
Positions (direct):
Hg  0.8832  0.6954  0.1732
Hg  0.1168  0.3046  0.8268
Pd  0.3695  0.8500  0.0057
Pd  0.7705  0.2752  0.5685
Pd  0.6305  0.1500  0.9943
Pd  0.2295  0.7248  0.4315
Se  0.6026  0.4004  0.2679
Se  0.7157  0.9481  0.6736
Se  0.2842  0.0519  0.3265
Se  0.3974  0.5996  0.7321

Results
- SG: P-1
- E_form (uncorrected): -0.144 eV/atom
- VASP energy: -3.6756 eV/atom